# 1
TaNbCr2: relaxed, PBE.

Calculated values
DFT formation energy   0.4 kJ/mol of atoms

Unit cell a=6.2023 b=6.2023 c=6.2023 alpha=90.00 beta=90.00 gamma=90.00
Atoms (fractional coordinates):
Ta 0.0000 0.0000 0.0000
Ta 0.0000 0.5000 0.5000
Ta 0.5000 0.0000 0.5000
Ta 0.5000 0.5000 0.0000
Nb 0.0000 0.0000 0.5000
Nb 0.0000 0.5000 0.0000
Nb 0.5000 0.0000 0.0000
Nb 0.5000 0.5000 0.5000
Cr 0.2500 0.2500 0.2500
Cr 0.2500 0.2500 0.7500
Cr 0.2500 0.7500 0.2500
Cr 0.2500 0.7500 0.7500
Cr 0.7500 0.2500 0.2500
Cr 0.7500 0.2500 0.7500
Cr 0.7500 0.7500 0.2500
Cr 0.7500 0.7500 0.7500


# 2
Ca3DyPb2S: relaxed, PBE.

Calculated values
Formation energy (no corrections)   -0.878 eV/atom

Unit cell a=5.1721 b=5.2510 c=16.3814 alpha=90.00 beta=90.00 gamma=90.00
Atoms (fractional coordinates):
Ca 0.0000 0.0000 0.0000
Ca 0.0000 0.5000 0.3243
Ca 0.0000 0.5000 0.6757
Ca 0.5000 0.0000 0.1757
Ca 0.5000 0.0000 0.8243
Ca 0.5000 0.5000 0.5000
Dy 0.0000 0.0000 0.5000
Dy 0.5000 0.5000 0.0000
Pb 0.0000 0.5000 0.1281
Pb 0.0000 0.5000 0.8719
Pb 0.5000 0.0000 0.3719
Pb 0.5000 0.0000 0.6281
S 0.0000 0.5000 0.5000
S 0.5000 0.0000 0.0000


# 3
HfTi5Tl2: relaxed, PBE.

Calculated values
DFT formation energy   13.6 kJ/mol of atoms

Unit cell a=3.0671 b=9.1234 c=11.3128 alpha=90.00 beta=90.00 gamma=90.00
Atoms (fractional coordinates):
Hf 0.0000 0.0000 0.0000
Hf 0.5000 0.5000 0.5000
Ti 0.0000 0.2289 0.3830
Ti 0.0000 0.2289 0.6170
Ti 0.0000 0.5000 0.0000
Ti 0.0000 0.7711 0.3830
Ti 0.0000 0.7711 0.6170
Ti 0.5000 0.0000 0.5000
Ti 0.5000 0.2711 0.1170
Ti 0.5000 0.2711 0.8830
Ti 0.5000 0.7289 0.1170
Ti 0.5000 0.7289 0.8830
Tl 0.0000 0.5000 0.2557
Tl 0.0000 0.5000 0.7443
Tl 0.5000 0.0000 0.2443
Tl 0.5000 0.0000 0.7557


# 4
CaSi2Os: relaxed, PBE.

Calculated values
Formation energy (no corrections)   -0.056 eV/atom

Unit cell a=6.3139 b=6.3139 c=6.3139 alpha=90.00 beta=90.00 gamma=90.00
Atoms (fractional coordinates):
Ca 0.0000 0.0000 0.0000
Ca 0.0000 0.5000 0.5000
Ca 0.5000 0.0000 0.5000
Ca 0.5000 0.5000 0.0000
Si 0.2500 0.2500 0.2500
Si 0.2500 0.2500 0.7500
Si 0.2500 0.7500 0.2500
Si 0.2500 0.7500 0.7500
Si 0.7500 0.2500 0.2500
Si 0.7500 0.2500 0.7500
Si 0.7500 0.7500 0.2500
Si 0.7500 0.7500 0.7500
Os 0.0000 0.0000 0.5000
Os 0.0000 0.5000 0.0000
Os 0.5000 0.0000 0.0000
Os 0.5000 0.5000 0.5000


no.,mass density (kg/m3),size of the total moment (μB per atom)
1,10519,0.000
2,5443,0.000
3,8672,0.322
4,7560,0.000